{"formula": "NaCd", "functional": "GGA-PBE", "state": "relaxed", "cell": [[3.348, 0.000, 0.000], [-1.674, 2.899, 0.000], [0.000, 0.000, 5.353]], "species": ["Na", "Cd"], "frac_coords": [[0.333, 0.667, 0.250], [0.667, 0.333, 0.750]], "e_tot_ev_per_cell": -2.3}